BaTl8Cd4: optimized geometry, GGA-PBE.

## Properties
**Space-group type**: I4/mmm (139)

Cell and atoms, written as extended XYZ:
```
13
Lattice="-5.673 5.673 2.994 5.673 -5.673 2.994 5.673 5.673 -2.994" Properties=species:S:1:pos:R:3 pbc="T T T"
Ba 0.000 0.000 0.000
Tl 4.031 0.000 0.000
Tl 7.316 0.000 0.000
Tl 5.673 3.291 0.000
Tl 0.000 4.031 0.000
Tl 3.291 5.673 0.000
Tl 2.382 0.000 2.994
Tl 0.000 7.316 0.000
Tl 0.000 2.382 2.994
Cd 2.837 2.837 -1.497
Cd 2.837 -2.837 1.497
Cd -2.837 2.837 1.497
Cd 2.837 2.837 1.497
```


AcLuMgOs: optimized geometry, GGA-PBE.

## Properties
**Space-group type**: F-43m (216)

Cell and atoms, written as extended XYZ:
```
4
Lattice="0.000 3.660 3.660 3.660 0.000 3.660 3.660 3.660 0.000" Properties=species:S:1:pos:R:3 pbc="T T T"
Ac 0.000 0.000 0.000
Lu 3.660 3.660 3.660
Mg 1.830 1.830 1.830
Os 5.490 5.490 5.490
```


ZrMoS2N: optimized geometry, GGA-PBE.

## Properties
**Formation energy from raw total energies**: -0.16 eV per atom
**Space-group type**: P4/mmm (123)

Cell and atoms, written as extended XYZ:
```
5
Lattice="4.793 0.000 0.000 0.000 4.793 0.000 0.000 0.000 3.764" Properties=species:S:1:pos:R:3 pbc="T T T"
Zr 0.000 0.000 0.000
Mo 2.396 2.396 1.882
S 0.000 2.396 1.882
S 2.396 0.000 1.882
N 2.396 2.396 0.000
```


CaScOs2Ru: optimized geometry, GGA-PBE.

## Properties
**Space-group type**: P4/mmm (123)

Cell and atoms, written as extended XYZ:
```
5
Lattice="4.765 0.000 0.000 0.000 4.765 0.000 0.000 0.000 4.676" Properties=species:S:1:pos:R:3 pbc="T T T"
Ca 0.000 0.000 0.000
Sc 2.382 2.382 2.338
Os 0.000 2.382 2.338
Os 2.382 0.000 2.338
Ru 2.382 2.382 0.000
```


CeGaSe3: optimized geometry, GGA-PBE.

## Properties
**Formation energy from raw total energies**: -1.13 eV per atom
**Space-group type**: C2/m (12)

Cell and atoms, written as extended XYZ:
```
10
Lattice="6.544 -4.595 0.000 6.544 4.595 0.000 -0.054 0.000 4.379" Properties=species:S:1:pos:R:3 pbc="T T T"
Ce 3.058 0.000 1.142
Ce 9.975 0.000 3.237
Ga 6.517 1.749 2.190
Ga 6.517 -1.749 2.190
Se 4.641 2.784 1.066
Se 8.393 2.784 3.313
Se 5.160 0.000 3.331
Se 7.874 0.000 1.049
Se 4.641 -2.784 1.066
Se 8.393 -2.784 3.313
```


TaCdP2: optimized geometry, GGA-PBE.

## Properties
**Space-group type**: Cmmm (65)

Cell and atoms, written as extended XYZ:
```
4
Lattice="1.751 -2.340 0.000 1.751 2.340 0.000 0.000 0.000 9.858" Properties=species:S:1:pos:R:3 pbc="T T T"
Ta 0.000 0.000 0.000
Cd 0.000 0.000 4.929
P 1.751 0.000 1.824
P 1.751 0.000 8.034
```


no.,total energy (eV per atom),DOS(E_F) (states/eV/cell)
1,-1.9702,6.1
2,-5.2894,4.3
3,-7.3489,4.1
4,-6.5927,8.6
5,-5.0080,14.0
6,-5.9211,1.9